Sm2Dy3YSb6: relaxed, GGA-PBE.

Unit cell a=9.8709 b=9.8709 c=8.8284 alpha=102.87 beta=102.87 gamma=25.85
Sites, in units of the cell vectors:
Sm 0.1662 0.1662 0.3326
Sm 0.8338 0.8338 0.6674
Dy 0.1672 0.1672 0.8335
Dy 0.5000 0.5000 0.5000
Dy 0.8328 0.8328 0.1665
Y 0.5000 0.5000 0.0000
Sb 0.0017 0.0017 0.7505
Sb 0.3335 0.3335 0.9210
Sb 0.3345 0.3345 0.4137
Sb 0.6655 0.6655 0.5863
Sb 0.6665 0.6665 0.0790
Sb 0.9983 0.9983 0.2495

Its electronic total energy is -0.20905 Ha/atom. The calculation puts the calculated volume at 30.430 Å³/atom. For the total magnetic moment, the calculation gives 0.00 μB/cell. The uncorrected formation energy is -1.152 eV per atom.